# 1
Here is an optimized crystal structure of Ba2IrW from the Alexandria database. Energies are from PBE.

a = 4.7135 Å, b = 4.7135 Å, c = 9.6801 Å
α = 90.00°, β = 90.00°, γ = 90.00°
Last column: nearest neighbours and their distance in Å.
Fractional positions:
Ba 0.0000 0.5000 0.2500  4 Ba 3.33, 4 W 3.38, 4 Ir 3.38
Ba 0.0000 0.5000 0.7500  4 Ba 3.33, 4 W 3.38, 4 Ir 3.38
Ba 0.5000 0.0000 0.2500  4 Ba 3.33, 4 W 3.38, 4 Ir 3.38
Ba 0.5000 0.0000 0.7500  4 Ba 3.33, 4 W 3.38, 4 Ir 3.38
Ir 0.0000 0.0000 0.0000  4 W 3.33, 8 Ba 3.38
Ir 0.5000 0.5000 0.5000  4 W 3.33, 8 Ba 3.38
W 0.0000 0.0000 0.5000  4 Ir 3.33, 8 Ba 3.38
W 0.5000 0.5000 0.0000  4 Ir 3.33, 8 Ba 3.38

Results
Energy relative to the lowest polymorph listed for this composition: 1125 meV/atom
Total energy: -5.143 eV per atom
E_form: 1.272 eV per atom

=====

# 2
Here is an optimized crystal structure of NaTl7In3 from the Alexandria database. Energies are from PBE.

a = 6.8215 Å, b = 6.8215 Å, c = 8.2904 Å
α = 90.00°, β = 90.00°, γ = 120.00°
Last column: nearest neighbours and their distance in Å.
Fractional positions:
Na 0.0000 0.0000 0.0000  9 Tl 3.42-3.47, 3 In 3.47
Tl 0.3333 0.6667 0.6816  9 Tl 3.42-3.49, 3 In 3.42
Tl 0.3405 0.1703 0.6590  2 In 3.29, 8 Tl 3.34-3.60, 1 Na 3.47
Tl 0.5031 0.0062 0.0261  2 In 3.30, 7 Tl 3.35-3.60, 2 Na 3.42
Tl 0.5031 0.4969 0.0261  2 In 3.30, 7 Tl 3.35-3.60, 2 Na 3.42
Tl 0.8297 0.1703 0.6590  2 In 3.29, 8 Tl 3.34-3.60, 1 Na 3.47
Tl 0.8297 0.6595 0.6590  2 In 3.29, 8 Tl 3.34-3.60, 1 Na 3.47
Tl 0.9938 0.4969 0.0261  2 In 3.30, 7 Tl 3.35-3.60, 2 Na 3.42
In 0.1674 0.3348 0.3438  5 Tl 3.29-3.42, 4 In 3.40-3.43, 1 Na 3.47
In 0.1674 0.8326 0.3438  5 Tl 3.29-3.42, 4 In 3.40-3.43, 1 Na 3.47
In 0.6652 0.8326 0.3438  5 Tl 3.29-3.42, 4 In 3.40-3.43, 1 Na 3.47

Results
Energy relative to the lowest polymorph listed for this composition: 0 meV/atom
Total energy: -2.340 eV per atom
E_form: 0.032 eV per atom

=====

| no. | ρ (g cm⁻³) |
| --- | --- |
| 1 | 10.05 |
| 2 | 8.94 |